PBE Cu3SiF, relaxed; formation energy from raw total energies = 0.222 eV per atom; DFT total energy = -3.69 eV per atom; space-group type = No. 221; DOS at the Fermi energy = 2.19 states/eV/cell
1.0
4.108 0.000 0.000
0.000 4.108 0.000
0.000 0.000 4.108
Cu Si F
3 1 1
direct
0.000 0.000 0.500
0.000 0.500 0.000
0.500 0.000 0.000
0.500 0.500 0.500
0.000 0.000 0.000